No. 1
DFT (PBE) results for an optimized crystal structure of Te4PtCl.

Lattice parameters (Å, degrees): 5.0454 8.4575 9.5909 116.16 93.16 90.00
Element x y z (fractional)
Te  0.9670  0.3018  0.6036
Te  0.0330  0.6982  0.3964
Te  0.6510  0.8638  0.2784
Te  0.3490  0.1362  0.7216
Te  0.6510  0.4146  0.2784
Te  0.3490  0.5854  0.7216
Te  0.0000  0.2872  0.0000
Te  0.0000  0.7128  0.0000
Cl  0.6801  0.9042  0.8083
Cl  0.3199  0.0958  0.1917
Pt  0.3350  0.5686  0.1371
Pt  0.6650  0.4314  0.8629

Formation energy from raw total energies in eV/f.u.: -1.629
SG: C2/m, No. 12

***

No. 2
DFT (PBE) results for an optimized crystal structure of Te2PtCl.

Lattice parameters (Å, degrees): 8.4691 6.3955 3.1821 60.03 112.25 139.14
Element x y z (fractional)
Te  0.5000  0.0000  0.5000
Te  0.0000  0.0000  0.0000
Pt  0.5000  0.5000  0.0000
Cl  0.0000  0.5000  0.5000

Formation energy from raw total energies in eV/f.u.: 0.060
SG: C2/m, No. 12

***

No. 3
DFT (PBE) results for an optimized crystal structure of Te2PtCl.

Lattice parameters (Å, degrees): 3.5361 3.5361 7.9079 90.00 90.00 103.68
Element x y z (fractional)
Cl  0.5000  0.5000  0.2500
Te  0.0000  0.0000  0.9540
Te  0.0000  0.0000  0.5460
Pt  0.5000  0.5000  0.7500

Formation energy from raw total energies in eV/f.u.: -0.138
SG: Cmmm, No. 65

***

Which of these has the lowest formation energy from raw total energies? Te4PtCl